# LaZrAg PBE-GGA relaxed
# - V (Å³/cell) = 298.9
# - formation energy from the elements (eV/atom) = 0.0471
# - relative energy among the computed polymorphs (eV/atom) = 0.117
data_LaZrAg
_space_group_name_H-M_alt 'C 1 2 1'
_space_group_IT_number 5
_cell_length_a 9.643
_cell_length_b 5.701
_cell_length_c 6.152
_cell_angle_alpha 90.00
_cell_angle_beta 117.90
_cell_angle_gamma 90.00
loop_
_space_group_symop_operation_xyz
'x,y,z'
'-x,y,-z'
'x+1/2,y+1/2,z'
'-x+1/2,y+1/2,-z'
loop_
_atom_site_label
_atom_site_fract_x
_atom_site_fract_y
_atom_site_fract_z
La1 0.000 0.000 0.000
La2 0.000 0.235 0.500
Zr1 0.166 0.708 0.527
Ag1 0.163 0.526 0.021

# LaZr2Ag PBE-GGA relaxed
# - V (Å³/cell) = 193.2
# - formation energy from the elements (eV/atom) = 0.1529
# - relative energy among the computed polymorphs (eV/atom) = 0.189
data_LaZr2Ag
_space_group_name_H-M_alt 'I -4 m 2'
_space_group_IT_number 119
_space_group_name_Hall 'I -4 -2'
_cell_length_a 4.625
_cell_length_b 4.625
_cell_length_c 9.034
_cell_angle_alpha 90.00
_cell_angle_beta 90.00
_cell_angle_gamma 90.00
loop_
_atom_site_label
_atom_site_fract_x
_atom_site_fract_y
_atom_site_fract_z
La1 0.000 0.000 0.000
Zr1 0.000 0.000 0.500
Zr2 0.000 0.500 0.750
Ag1 0.000 0.500 0.250

# LaZrAg3 PBE-GGA relaxed
# - V (Å³/cell) = 142.7
# - formation energy from the elements (eV/atom) = 0.5150
# - relative energy among the computed polymorphs (eV/atom) = 0.000
data_LaZrAg3
_space_group_name_H-M_alt 'P m -3 m'
_space_group_IT_number 221
_space_group_name_Hall '-P 4 2 3'
_cell_length_a 5.226
_cell_length_b 5.226
_cell_length_c 5.226
_cell_angle_alpha 90.00
_cell_angle_beta 90.00
_cell_angle_gamma 90.00
loop_
_atom_site_label
_atom_site_fract_x
_atom_site_fract_y
_atom_site_fract_z
La1 0.000 0.000 0.000
Zr1 0.500 0.500 0.500
Ag1 0.000 0.500 0.500

# La2ZrAg PBE-GGA relaxed
# - V (Å³/cell) = 226.0
# - formation energy from the elements (eV/atom) = 0.0056
# - relative energy among the computed polymorphs (eV/atom) = 0.024
data_La2ZrAg
_space_group_name_H-M_alt 'C 1 m 1'
_space_group_IT_number 8
_cell_length_a 12.713
_cell_length_b 3.557
_cell_length_c 5.557
_cell_angle_alpha 90.00
_cell_angle_beta 115.90
_cell_angle_gamma 90.00
loop_
_space_group_symop_operation_xyz
'x,y,z'
'x,-y,z'
'x+1/2,y+1/2,z'
'x+1/2,-y+1/2,z'
loop_
_atom_site_label
_atom_site_fract_x
_atom_site_fract_y
_atom_site_fract_z
La1 0.000 0.000 0.000
La2 0.218 0.000 0.722
Zr1 0.269 0.500 0.272
Ag1 0.471 0.000 0.469

# LaZrAg PBE-GGA relaxed
# - V (Å³/cell) = 155.0
# - formation energy from the elements (eV/atom) = -0.0695
# - relative energy among the computed polymorphs (eV/atom) = 0.000
data_LaZrAg
_space_group_name_H-M_alt 'P 1 21 1'
_space_group_IT_number 4
_cell_length_a 3.503
_cell_length_b 5.241
_cell_length_c 8.619
_cell_angle_alpha 90.00
_cell_angle_beta 101.72
_cell_angle_gamma 90.00
loop_
_space_group_symop_operation_xyz
'x,y,z'
'-x,y+1/2,-z'
loop_
_atom_site_label
_atom_site_fract_x
_atom_site_fract_y
_atom_site_fract_z
La1 0.078 0.000 0.156
Zr1 0.245 0.501 0.488
Ag1 0.394 0.000 0.788

# LaZrAg2 PBE-GGA relaxed
# - V (Å³/cell) = 388.8
# - formation energy from the elements (eV/atom) = 0.0052
# - relative energy among the computed polymorphs (eV/atom) = 0.079
data_LaZrAg2
_space_group_name_H-M_alt 'F m -3 m'
_space_group_IT_number 225
_space_group_name_Hall '-F 4 2 3'
_cell_length_a 7.299
_cell_length_b 7.299
_cell_length_c 7.299
_cell_angle_alpha 90.00
_cell_angle_beta 90.00
_cell_angle_gamma 90.00
loop_
_atom_site_label
_atom_site_fract_x
_atom_site_fract_y
_atom_site_fract_z
La1 0.000 0.000 0.000
Zr1 0.000 0.000 0.500
Ag1 0.250 0.250 0.250